[1]
The following is a GGA-PBE calculation of Pr2Sm9Er after structural relaxation, from the Alexandria database.

The structure in CIF format:
```
data_Pr2Sm9Er
_chemical_formula_sum 'Pr2 Sm9 Er1'
_space_group_name_H-M_alt 'P 6/m m m'
_space_group_IT_number 191
_space_group_name_Hall '-P 6 2'
_cell_length_a 11.4810
_cell_length_b 11.4810
_cell_length_c 3.5402
_cell_angle_alpha 90.00
_cell_angle_beta 90.00
_cell_angle_gamma 120.00
loop_
_atom_site_label
_atom_site_type_symbol
_atom_site_fract_x
_atom_site_fract_y
_atom_site_fract_z
Pr1 Pr 0.3333 0.6667 0.0000
Sm1 Sm 0.0000 0.5000 0.0000
Sm2 Sm 0.1712 0.3423 0.5000
Er1 Er 0.0000 0.0000 0.0000
```

Calculated volume = 404 Å³ per cell
M_tot = 0.00 μB/cell
Theoretical density = 7.4 g cm⁻³
Formation energy = 0.056 eV/atom



[2]
The following is a GGA-PBE calculation of Pr2Sm7Er after structural relaxation, from the Alexandria database.

The structure in CIF format:
```
data_Pr2Sm7Er
_chemical_formula_sum 'Pr4 Sm14 Er2'
_space_group_name_H-M_alt 'C m m m'
_space_group_IT_number 65
_space_group_name_Hall '-C 2 2'
_cell_length_a 6.6943
_cell_length_b 29.3351
_cell_length_c 3.4985
_cell_angle_alpha 90.00
_cell_angle_beta 90.00
_cell_angle_gamma 90.00
loop_
_atom_site_label
_atom_site_type_symbol
_atom_site_fract_x
_atom_site_fract_y
_atom_site_fract_z
Pr1 Pr 0.0000 0.2047 0.0000
Sm1 Sm 0.0000 0.0000 0.0000
Sm2 Sm 0.0000 0.3130 0.5000
Sm3 Sm 0.2439 0.4025 0.0000
Er1 Er 0.0000 0.5000 0.5000
```

Calculated volume = 687 Å³ per cell
M_tot = 0.00 μB/cell
Theoretical density = 7.3 g cm⁻³
Formation energy = 0.150 eV/atom



[3]
The following is a GGA-PBE calculation of Pr8Sm6Er after structural relaxation, from the Alexandria database.

The structure in CIF format:
```
data_Pr8Sm6Er
_chemical_formula_sum 'Pr8 Sm6 Er1'
_space_group_name_H-M_alt 'P -3'
_space_group_IT_number 147
_cell_length_a 9.5547
_cell_length_b 9.5547
_cell_length_c 6.7208
_cell_angle_alpha 90.00
_cell_angle_beta 90.00
_cell_angle_gamma 120.00
loop_
_space_group_symop_operation_xyz
'x,y,z'
'-x,-y,-z'
'-y,x-y,z'
'y,-x+y,-z'
'-x+y,-x,z'
'x-y,x,-z'
loop_
_atom_site_label
_atom_site_type_symbol
_atom_site_fract_x
_atom_site_fract_y
_atom_site_fract_z
Pr1 Pr 0.0318 0.7480 0.1656
Pr2 Pr 0.3333 0.6667 0.1152
Sm1 Sm 0.0882 0.6557 0.6564
Er1 Er 0.0000 0.0000 0.5000
```

Calculated volume = 531 Å³ per cell
M_tot = 0.00 μB/cell
Theoretical density = 6.9 g cm⁻³
Formation energy = 0.161 eV/atom



[4]
The following is a GGA-PBE calculation of PrSm12Er7 after structural relaxation, from the Alexandria database.

The structure in CIF format:
```
data_PrSm12Er7
_chemical_formula_sum 'Pr3 Sm36 Er21'
_space_group_name_H-M_alt 'R -3'
_space_group_IT_number 148
_space_group_name_Hall '-R 3'
_cell_length_a 15.1233
_cell_length_b 15.1233
_cell_length_c 10.1039
_cell_angle_alpha 90.00
_cell_angle_beta 90.00
_cell_angle_gamma 120.00
loop_
_atom_site_label
_atom_site_type_symbol
_atom_site_fract_x
_atom_site_fract_y
_atom_site_fract_z
Pr1 Pr 0.0000 0.0000 0.0000
Sm1 Sm 0.0466 0.2033 0.2507
Sm2 Sm 0.0490 0.2464 0.5776
Er1 Er 0.0000 0.0000 0.5000
Er2 Er 0.0652 0.2461 0.9240
```

Calculated volume = 2001 Å³ per cell
M_tot = 0.00 μB/cell
Theoretical density = 7.8 g cm⁻³
Formation energy = 0.163 eV/atom



[5]
The following is a GGA-PBE calculation of Pr3SmEr4 after structural relaxation, from the Alexandria database.

The structure in CIF format:
```
data_Pr3SmEr4
_chemical_formula_sum 'Pr6 Sm2 Er8'
_space_group_name_H-M_alt 'P m n 21'
_space_group_IT_number 31
_cell_length_a 11.5523
_cell_length_b 7.3298
_cell_length_c 6.2963
_cell_angle_alpha 90.00
_cell_angle_beta 90.00
_cell_angle_gamma 90.00
loop_
_space_group_symop_operation_xyz
'x,y,z'
'-x+1/2,-y,z+1/2'
'-x,y,z'
'x+1/2,-y,z+1/2'
loop_
_atom_site_label
_atom_site_type_symbol
_atom_site_fract_x
_atom_site_fract_y
_atom_site_fract_z
Pr1 Pr 0.0000 0.1283 0.0000
Pr2 Pr 0.2494 0.1283 0.3386
Sm1 Sm 0.0000 0.8694 0.5010
Er1 Er 0.0000 0.3804 0.5022
Er2 Er 0.0000 0.6201 0.0037
Er3 Er 0.2493 0.6196 0.3360
```

Calculated volume = 533 Å³ per cell
M_tot = 0.03 μB/cell
Theoretical density = 7.7 g cm⁻³
Formation energy = 0.029 eV/atom



[6]
The following is a GGA-PBE calculation of Pr3Sm3Er8 after structural relaxation, from the Alexandria database.

The structure in CIF format:
```
data_Pr3Sm3Er8
_chemical_formula_sum 'Pr6 Sm6 Er16'
_space_group_name_H-M_alt 'I m m m'
_space_group_IT_number 71
_space_group_name_Hall '-I 2 2'
_cell_length_a 5.6674
_cell_length_b 10.7589
_cell_length_c 15.1909
_cell_angle_alpha 90.00
_cell_angle_beta 90.00
_cell_angle_gamma 90.00
loop_
_atom_site_label
_atom_site_type_symbol
_atom_site_fract_x
_atom_site_fract_y
_atom_site_fract_z
Pr1 Pr 0.0000 0.0000 0.0000
Pr2 Pr 0.0000 0.5000 0.3129
Sm1 Sm 0.0000 0.0000 0.5000
Sm2 Sm 0.0000 0.3000 0.5000
Er1 Er 0.0000 0.1618 0.2803
Er2 Er 0.0000 0.3409 0.1023
```

Calculated volume = 926 Å³ per cell
M_tot = 0.00 μB/cell
Theoretical density = 7.9 g cm⁻³
Formation energy = 0.108 eV/atom



[7]
The following is a GGA-PBE calculation of Pr2Sm5Er6 after structural relaxation, from the Alexandria database.

The structure in CIF format:
```
data_Pr2Sm5Er6
_chemical_formula_sum 'Pr4 Sm10 Er12'
_space_group_name_H-M_alt 'P b a m'
_space_group_IT_number 55
_cell_length_a 11.7282
_cell_length_b 20.4471
_cell_length_c 3.5894
_cell_angle_alpha 90.00
_cell_angle_beta 90.00
_cell_angle_gamma 90.00
loop_
_space_group_symop_operation_xyz
'x,y,z'
'-x,-y,-z'
'-x,-y,z'
'x,y,-z'
'x+1/2,-y+1/2,-z'
'-x+1/2,y+1/2,z'
'-x+1/2,y+1/2,-z'
'x+1/2,-y+1/2,z'
loop_
_atom_site_label
_atom_site_type_symbol
_atom_site_fract_x
_atom_site_fract_y
_atom_site_fract_z
Pr1 Pr 0.1714 0.2186 0.0000
Sm1 Sm 0.0000 0.5000 0.5000
Sm2 Sm 0.0884 0.7799 0.5000
Sm3 Sm 0.2008 0.0524 0.5000
Er1 Er 0.0607 0.9236 0.0000
Er2 Er 0.0751 0.6356 0.0000
Er3 Er 0.1817 0.3734 0.5000
```

Calculated volume = 861 Å³ per cell
M_tot = 0.00 μB/cell
Theoretical density = 7.9 g cm⁻³
Formation energy = 0.098 eV/atom



[8]
The following is a GGA-PBE calculation of Pr3SmEr2 after structural relaxation, from the Alexandria database.

The structure in CIF format:
```
data_Pr3SmEr2
_chemical_formula_sum 'Pr12 Sm4 Er8'
_space_group_name_H-M_alt 'C m c m'
_space_group_IT_number 63
_space_group_name_Hall '-C 2c 2'
_cell_length_a 15.0643
_cell_length_b 10.1569
_cell_length_c 5.6550
_cell_angle_alpha 90.00
_cell_angle_beta 90.00
_cell_angle_gamma 90.00
loop_
_atom_site_label
_atom_site_type_symbol
_atom_site_fract_x
_atom_site_fract_y
_atom_site_fract_z
Pr1 Pr 0.0000 0.0911 0.2500
Pr2 Pr 0.2400 0.1311 0.2500
Sm1 Sm 0.0000 0.2673 0.7500
Er1 Er 0.1058 0.4048 0.2500
```

Calculated volume = 865 Å³ per cell
M_tot = 0.00 μB/cell
Theoretical density = 7.0 g cm⁻³
Formation energy = 0.273 eV/atom



[9]
The following is a GGA-PBE calculation of PrSm4Er4 after structural relaxation, from the Alexandria database.

The structure in CIF format:
```
data_PrSm4Er4
_chemical_formula_sum 'Pr2 Sm8 Er8'
_space_group_name_H-M_alt 'I 4/m m m'
_space_group_IT_number 139
_space_group_name_Hall '-I 4 2'
_cell_length_a 10.7651
_cell_length_b 10.7651
_cell_length_c 5.0439
_cell_angle_alpha 90.00
_cell_angle_beta 90.00
_cell_angle_gamma 90.00
loop_
_atom_site_label
_atom_site_type_symbol
_atom_site_fract_x
_atom_site_fract_y
_atom_site_fract_z
Pr1 Pr 0.0000 0.0000 0.0000
Sm1 Sm 0.0000 0.3321 0.0000
Er1 Er 0.1673 0.1673 0.5000
```

Calculated volume = 585 Å³ per cell
M_tot = 0.00 μB/cell
Theoretical density = 8.0 g cm⁻³
Formation energy = 0.019 eV/atom



[10]
The following is a GGA-PBE calculation of Pr5SmEr3 after structural relaxation, from the Alexandria database.

The structure in CIF format:
```
data_Pr5SmEr3
_chemical_formula_sum 'Pr20 Sm4 Er12'
_space_group_name_H-M_alt 'I 4/m c m'
_space_group_IT_number 140
_space_group_name_Hall '-I 4 2c'
_cell_length_a 8.0687
_cell_length_b 8.0687
_cell_length_c 19.4282
_cell_angle_alpha 90.00
_cell_angle_beta 90.00
_cell_angle_gamma 90.00
loop_
_atom_site_label
_atom_site_type_symbol
_atom_site_fract_x
_atom_site_fract_y
_atom_site_fract_z
Pr1 Pr 0.0000 0.0000 0.0000
Pr2 Pr 0.2048 0.2952 0.1331
Sm1 Sm 0.0000 0.5000 0.2500
Er1 Er 0.0000 0.0000 0.2500
Er2 Er 0.1287 0.3713 0.5000
```

Calculated volume = 1265 Å³ per cell
M_tot = 0.00 μB/cell
Theoretical density = 7.1 g cm⁻³
Formation energy = 0.289 eV/atom



[11]
The following is a GGA-PBE calculation of Pr7Sm4Er after structural relaxation, from the Alexandria database.

The structure in CIF format:
```
data_Pr7Sm4Er
_chemical_formula_sum 'Pr14 Sm8 Er2'
_space_group_name_H-M_alt 'C 1 2/m 1'
_space_group_IT_number 12
_cell_length_a 16.4461
_cell_length_b 6.1047
_cell_length_c 9.4722
_cell_angle_alpha 90.00
_cell_angle_beta 115.91
_cell_angle_gamma 90.00
loop_
_space_group_symop_operation_xyz
'x,y,z'
'-x,-y,-z'
'-x,y,-z'
'x,-y,z'
'x+1/2,y+1/2,z'
'-x+1/2,-y+1/2,-z'
'-x+1/2,y+1/2,-z'
'x+1/2,-y+1/2,z'
loop_
_atom_site_label
_atom_site_type_symbol
_atom_site_fract_x
_atom_site_fract_y
_atom_site_fract_z
Pr1 Pr 0.0000 0.0000 0.0000
Pr2 Pr 0.0820 0.5000 0.4378
Pr3 Pr 0.2071 0.5000 0.8760
Pr4 Pr 0.2081 0.5000 0.2252
Sm1 Sm 0.0725 0.0000 0.6980
Sm2 Sm 0.1730 0.0000 0.3890
Er1 Er 0.0000 0.5000 0.0000
```

Calculated volume = 855 Å³ per cell
M_tot = 0.91 μB/cell
Theoretical density = 6.8 g cm⁻³
Formation energy = 0.211 eV/atom



[12]
The following is a GGA-PBE calculation of Pr6SmEr4 after structural relaxation, from the Alexandria database.

The structure in CIF format:
```
data_Pr6SmEr4
_chemical_formula_sum 'Pr12 Sm2 Er8'
_space_group_name_H-M_alt 'I -4 2 m'
_space_group_IT_number 121
_space_group_name_Hall 'I -4 2'
_cell_length_a 6.6034
_cell_length_b 6.6034
_cell_length_c 17.7030
_cell_angle_alpha 90.00
_cell_angle_beta 90.00
_cell_angle_gamma 90.00
loop_
_atom_site_label
_atom_site_type_symbol
_atom_site_fract_x
_atom_site_fract_y
_atom_site_fract_z
Pr1 Pr 0.0000 0.5000 0.0000
Pr2 Pr 0.1784 0.1784 0.3616
Sm1 Sm 0.0000 0.0000 0.0000
Er1 Er 0.1838 0.1838 0.1735
```

Calculated volume = 772 Å³ per cell
M_tot = 0.00 μB/cell
Theoretical density = 7.2 g cm⁻³
Formation energy = 0.285 eV/atom